# PBEsol Ga2BiP, relaxed
data_Ga2BiP
_cell_length_a 5.889
_cell_length_b 5.889
_cell_length_c 11.569
_cell_angle_alpha 90.00
_cell_angle_beta 90.00
_cell_angle_gamma 90.00
_symmetry_space_group_name_H-M 'I -4 2 d'
_symmetry_Int_Tables_number 122
_symmetry_space_group_name_Hall 'I -4 2bw'
loop_
_atom_site_label
_atom_site_fract_x
_atom_site_fract_y
_atom_site_fract_z
Ga1 0.201 0.250 0.125
Bi1 0.000 0.000 0.500
P1 0.000 0.000 0.000
# **Crystal system**: tetragonal
# **Density**: 6.281 g/cm3
# **Magnetic moment**: 0.00 μB per formula unit
# **Formation enthalpy at 0 K**: -0.120 eV/atom